[1]
DFT (SCAN) results for KMg2AlFeSi3O12 at its PBEsol-relaxed geometry.

Results
V	245.6	Å³/cell
E_form (uncorrected)	-2.8278	eV per atom
total magnetization	3.99	μB per formula unit

Lattice parameters (Å, degrees): 5.2462 5.2783 10.2884 86.45 81.37 60.69
Closest atoms and distances in Å follow each position.
Fractional positions:
1 O 0.7065 0.3327 0.3867  1 Si 1.68
2 O 0.9591 0.3293 0.6103  1 Si 1.63
3 O 0.3030 0.6597 0.6119  1 Si 1.61
4 O 0.8645 0.5717 0.1699  1 Si 1.62, 1 Al 1.74
5 O 0.0154 0.0143 0.1640  1 Si 1.62, 1 Al 1.74
6 O 0.3116 0.9981 0.4125  1 Fe 1.76
7 O 0.5549 0.5040 0.8319  2 Si 1.64-1.65
8 O 0.0520 0.9992 0.8294  2 Si 1.64
9 O 0.0590 0.4950 0.8295  2 Si 1.64
10 O 0.4595 0.4175 0.1671  1 Si 1.62, 1 Al 1.73
11 O 0.6753 0.0082 0.5910  1 Fe 1.78
12 O 0.0357 0.6756 0.4003  1 Al 1.78, 1 Fe 1.92
13 Fe 0.9917 0.9987 0.4951  3 O 1.76-1.92
14 Mg 0.3388 0.3247 0.4959  6 O 2.05-2.15
15 Mg 0.6608 0.6782 0.4970  6 O 2.06-2.16
16 Si 0.9052 0.3292 0.7701  4 O 1.63-1.64
17 Si 0.7658 0.3326 0.2217  4 O 1.62-1.68
18 Si 0.2412 0.6650 0.7705  4 O 1.61-1.65
19 Al 0.0995 0.6722 0.2254  4 O 1.73-1.78
20 K 0.5004 0.9940 0.0197  3 O 2.68-2.70

[2]
DFT (SCAN) results for KAlFe2S at its PBEsol-relaxed geometry.

Results
V	97.1	Å³/cell
E_form (uncorrected)	0.6182	eV per atom
total magnetization	4.64	μB per formula unit

Lattice parameters (Å, degrees): 4.2960 4.2960 5.2608 90.00 90.00 90.00
Closest atoms and distances in Å follow each position.
Fractional positions:
1 Fe 0.5000 0.0000 0.0000  2 S 2.15
2 Fe 0.0000 0.5000 0.0000  2 S 2.15
3 Al 0.0000 0.0000 0.5000  2 S 2.63
4 S 0.0000 0.0000 0.0000  4 Fe 2.15
5 K 0.5000 0.5000 0.5000  4 Al 3.04, 8 Fe 3.40

Look up the V of the first one.
245.6 Å³/cell

What did the first record say?
DFT (SCAN) results for KMg2AlFeSi3O12 at its PBEsol-relaxed geometry.

Results
V	245.6	Å³/cell
E_form (uncorrected)	-2.8278	eV per atom
total magnetization	3.99	μB per formula unit

Lattice parameters (Å, degrees): 5.2462 5.2783 10.2884 86.45 81.37 60.69
Closest atoms and distances in Å follow each position.
Fractional positions:
1 O 0.7065 0.3327 0.3867  1 Si 1.68
2 O 0.9591 0.3293 0.6103  1 Si 1.63
3 O 0.3030 0.6597 0.6119  1 Si 1.61
4 O 0.8645 0.5717 0.1699  1 Si 1.62, 1 Al 1.74
5 O 0.0154 0.0143 0.1640  1 Si 1.62, 1 Al 1.74
6 O 0.3116 0.9981 0.4125  1 Fe 1.76
7 O 0.5549 0.5040 0.8319  2 Si 1.64-1.65
8 O 0.0520 0.9992 0.8294  2 Si 1.64
9 O 0.0590 0.4950 0.8295  2 Si 1.64
10 O 0.4595 0.4175 0.1671  1 Si 1.62, 1 Al 1.73
11 O 0.6753 0.0082 0.5910  1 Fe 1.78
12 O 0.0357 0.6756 0.4003  1 Al 1.78, 1 Fe 1.92
13 Fe 0.9917 0.9987 0.4951  3 O 1.76-1.92
14 Mg 0.3388 0.3247 0.4959  6 O 2.05-2.15
15 Mg 0.6608 0.6782 0.4970  6 O 2.06-2.16
16 Si 0.9052 0.3292 0.7701  4 O 1.63-1.64
17 Si 0.7658 0.3326 0.2217  4 O 1.62-1.68
18 Si 0.2412 0.6650 0.7705  4 O 1.61-1.65
19 Al 0.0995 0.6722 0.2254  4 O 1.73-1.78
20 K 0.5004 0.9940 0.0197  3 O 2.68-2.70